Record 1
Below is an optimized crystal structure of TaCoPt2, with properties calculated at the GGA-PBEsol level.

extended XYZ file:
```
4
Lattice="2.751 0.000 0.000 0.000 4.391 0.000 0.000 0.000 4.793" Properties=species:S:1:pos:R:3 pbc="T T T"
Pt 0.000 0.000 0.247
Ta 1.376 0.000 2.544
Co 1.376 2.196 0.985
Pt 0.000 2.196 3.413
```

Properties
Energy relative to the elements in eV/atom: -0.392
Density of states at the Fermi level in states/eV/cell: 4.00

=====

Record 2
Below is an optimized crystal structure of Ca2YSe, with properties calculated at the GGA-PBEsol level.

extended XYZ file:
```
4
Lattice="3.589 0.253 0.000 -0.400 3.575 0.000 0.000 0.000 9.110" Properties=species:S:1:pos:R:3 pbc="T T T"
Se 1.594 1.914 4.555
Ca 0.000 0.000 6.266
Y 1.594 1.914 0.000
Ca 0.000 0.000 2.844
```

Properties
Uncorrected formation energy in kJ/mol of atoms: -74.4
Density of states at the Fermi level in states/eV/cell: 3.66

=====

Record 3
Below is an optimized crystal structure of MnCo2Re, with properties calculated at the GGA-PBEsol level.

extended XYZ file:
```
4
Lattice="4.064 0.000 0.000 2.032 3.519 0.000 2.032 1.173 3.318" Properties=species:S:1:pos:R:3 pbc="T T T"
Mn 0.000 0.000 0.000
Co 2.032 1.173 0.829
Re 4.064 2.346 1.659
Co 6.095 3.519 2.488
```

Properties
Energy relative to the elements in eV/atom: 0.195
Density of states at the Fermi level in states/eV/cell: 5.14

=====

Record 4
Below is an optimized crystal structure of CrAgBiIr2, with properties calculated at the GGA-PBEsol level.

extended XYZ file:
```
5
Lattice="4.601 0.000 0.000 0.000 4.823 0.000 0.000 0.000 4.823" Properties=species:S:1:pos:R:3 pbc="T T T"
Ag 0.000 0.000 0.000
Bi 2.301 2.412 2.412
Cr 2.301 0.000 0.000
Ir 0.000 2.412 0.000
Ir 0.000 0.000 2.412
```

Properties
Energy relative to the elements in eV/atom: 1.737
Density of states at the Fermi level in states/eV/cell: 5.96

=====

Record 5
Below is an optimized crystal structure of SiB2Se, with properties calculated at the GGA-PBEsol level.

extended XYZ file:
```
8
Lattice="4.749 0.000 0.000 0.000 4.749 0.000 -2.375 -2.375 4.734" Properties=species:S:1:pos:R:3 pbc="T T T"
Si 2.375 2.375 0.000
Se 0.000 2.375 2.367
B 1.187 1.148 3.550
B -1.187 -1.148 3.550
B 3.523 1.187 1.183
Se 0.000 0.000 0.000
B 1.226 3.562 1.183
Si 2.375 0.000 2.367
```

Properties
Uncorrected formation energy in kJ/mol of atoms: 10.1

=====

Record 6
Below is an optimized crystal structure of MgMnSiO5, with properties calculated at the GGA-PBEsol level.

extended XYZ file:
```
16
Lattice="-0.695 -4.625 -2.204 5.070 0.396 0.936 -2.809 -0.636 6.175" Properties=species:S:1:pos:R:3 pbc="T T T"
Mg 3.397 -0.608 1.951
O 3.700 -3.218 -0.391
Si 1.903 -1.005 4.990
Si -0.337 -3.861 -0.083
O 1.630 -4.115 2.334
O 2.150 -2.022 3.729
Mn 0.783 -2.433 2.453
O -0.064 -0.750 2.573
O 0.366 -1.111 5.548
O -0.419 -3.027 3.725
O -0.585 -2.844 1.177
Mg -1.832 -4.258 2.955
O 1.985 -1.838 1.182
O -2.134 -1.648 5.298
O 1.200 -3.755 -0.641
Mn 2.187 -2.115 -0.634
```

Properties
Uncorrected formation energy in kJ/mol of atoms: -224.0

=====

Record 7
Below is an optimized crystal structure of LaAl2Co, with properties calculated at the GGA-PBEsol level.

extended XYZ file:
```
4
Lattice="2.933 0.000 0.000 0.000 5.191 0.000 0.000 -2.595 4.907" Properties=species:S:1:pos:R:3 pbc="T T T"
Co 1.467 0.000 0.000
Al 0.000 -1.298 2.453
La 1.467 2.595 0.000
Al 0.000 1.298 2.453
```

Properties
Energy relative to the elements in eV/atom: 0.228
Density of states at the Fermi level in states/eV/cell: 3.61

=====

Record 8
Below is an optimized crystal structure of CuBiP2Cl, with properties calculated at the GGA-PBEsol level.

extended XYZ file:
```
5
Lattice="-1.255 3.930 3.187 -2.922 -3.247 2.854 4.137 -1.100 2.985" Properties=species:S:1:pos:R:3 pbc="T T T"
P -1.461 -1.624 1.427
Cu -0.020 -0.209 4.513
P 2.068 -0.550 1.492
Bi 0.000 0.000 0.000
Cl -0.627 1.965 1.594
```

Properties
Uncorrected formation energy in kJ/mol of atoms: 120.0
Density of states at the Fermi level in states/eV/cell: 3.53

=====

no.,magnetic moment (μB/cell)
1,1.6
2,0.2
3,5.7
4,4.3
5,0.0
6,6.0
7,0.3
8,1.1